Entry 1:
# K3Pr2ZrTe6 | Alexandria | PBE-GGA | optimized geometry
# DOS(E_F) in states/eV per cell: 5.379
# Symmetry: No. 12
# E_form (uncorrected) in eV/atom: -1.240
# Spin magnetization in μB per formula unit: 0.5
data_K3Pr2ZrTe6
_cell_length_a 7.783
_cell_length_b 7.783
_cell_length_c 8.711
_cell_angle_alpha 98.61
_cell_angle_beta 98.61
_cell_angle_gamma 120.03
_symmetry_space_group_name_H-M 'P 1'
_symmetry_Int_Tables_number 1
_symmetry_space_group_name_Hall 'P 1'
loop_
_atom_site_label
_atom_site_fract_x
_atom_site_fract_y
_atom_site_fract_z
K1 0.000 0.000 0.000
K2 0.327 0.673 0.000
K3 0.673 0.327 0.000
Pr1 0.166 0.834 0.500
Pr2 0.834 0.166 0.500
Zr1 0.500 0.500 0.500
Te1 0.117 0.430 0.288
Te2 0.260 0.260 0.713
Te3 0.430 0.117 0.288
Te4 0.570 0.883 0.712
Te5 0.740 0.740 0.287
Te6 0.883 0.570 0.712

---

Entry 2:
# In7Ir | Alexandria | PBE-GGA | optimized geometry
# DOS(E_F) in states/eV per cell: 2.837
# E_form in eV per atom: 0.201
# Symmetry: No. 225
# Spin magnetization in μB per formula unit: 0.0
data_In7Ir
_cell_length_a 6.396
_cell_length_b 6.396
_cell_length_c 6.396
_cell_angle_alpha 60.00
_cell_angle_beta 60.00
_cell_angle_gamma 60.00
_symmetry_space_group_name_H-M 'P 1'
_symmetry_Int_Tables_number 1
_symmetry_space_group_name_Hall 'P 1'
loop_
_atom_site_label
_atom_site_fract_x
_atom_site_fract_y
_atom_site_fract_z
In1 0.000 0.000 0.000
In2 0.000 0.000 0.500
In3 0.000 0.500 0.000
In4 0.000 0.500 0.500
In5 0.500 0.000 0.000
In6 0.500 0.000 0.500
In7 0.500 0.500 0.000
Ir1 0.500 0.500 0.500

---

Entry 3:
# Li2CaTlP | Alexandria | PBE-GGA | optimized geometry
# DOS(E_F) in states/eV per cell: 1.649
# E_form in eV per atom: -0.431
# Symmetry: No. 123
# Spin magnetization in μB per formula unit: 0.0
data_Li2CaTlP
_cell_length_a 4.786
_cell_length_b 4.786
_cell_length_c 5.534
_cell_angle_alpha 90.00
_cell_angle_beta 90.00
_cell_angle_gamma 90.00
_symmetry_space_group_name_H-M 'P 1'
_symmetry_Int_Tables_number 1
_symmetry_space_group_name_Hall 'P 1'
loop_
_atom_site_label
_atom_site_fract_x
_atom_site_fract_y
_atom_site_fract_z
Li1 0.000 0.500 0.000
Li2 0.500 0.000 0.000
Ca1 0.000 0.000 0.500
Tl1 0.500 0.500 0.500
P1 0.000 0.000 0.000

---

Entry 4:
# Li5Al | Alexandria | PBE-GGA | optimized geometry
# DOS(E_F) in states/eV per cell: 2.778
# E_form in eV per atom: -0.049
# Symmetry: No. 65
# Spin magnetization in μB per formula unit: 0.0
# ΔE to the lowest computed polymorph in eV per atom: 0.017
data_Li5Al
_cell_length_a 6.757
_cell_length_b 6.757
_cell_length_c 4.428
_cell_angle_alpha 90.00
_cell_angle_beta 90.00
_cell_angle_gamma 148.11
_symmetry_space_group_name_H-M 'P 1'
_symmetry_Int_Tables_number 1
_symmetry_space_group_name_Hall 'P 1'
loop_
_atom_site_label
_atom_site_fract_x
_atom_site_fract_y
_atom_site_fract_z
Li1 0.000 0.000 0.000
Li2 0.163 0.837 0.500
Li3 0.344 0.656 0.000
Li4 0.656 0.344 0.000
Li5 0.837 0.163 0.500
Al1 0.500 0.500 0.500

---

Entry 5:
# V3SiH3 | Alexandria | PBE-GGA | optimized geometry
# DOS(E_F) in states/eV per cell: 11.125
# Symmetry: No. 148
# DFT total energy in Ha/atom: -0.22681
# Spin magnetization in μB per formula unit: 0.0
data_V3SiH3
_cell_length_a 6.608
_cell_length_b 6.608
_cell_length_c 6.608
_cell_angle_alpha 45.26
_cell_angle_beta 45.26
_cell_angle_gamma 45.26
_symmetry_space_group_name_H-M 'P 1'
_symmetry_Int_Tables_number 1
_symmetry_space_group_name_Hall 'P 1'
loop_
_atom_site_label
_atom_site_fract_x
_atom_site_fract_y
_atom_site_fract_z
V1 0.101 0.781 0.417
V2 0.219 0.583 0.899
V3 0.417 0.101 0.781
V4 0.583 0.899 0.219
V5 0.781 0.417 0.101
V6 0.899 0.219 0.583
Si1 0.333 0.333 0.333
Si2 0.667 0.667 0.667
H1 0.132 0.478 0.787
H2 0.213 0.868 0.522
H3 0.478 0.787 0.132
H4 0.522 0.213 0.868
H5 0.787 0.132 0.478
H6 0.868 0.522 0.213

---

Entry 6:
# Pr6Si2BrCl3 | Alexandria | PBE-GGA | optimized geometry
# DOS(E_F) in states/eV per cell: 5.658
# Symmetry: No. 12
# E_form (uncorrected) in eV/atom: -1.206
# Spin magnetization in μB per formula unit: 0.0
data_Pr6Si2BrCl3
_cell_length_a 9.476
_cell_length_b 9.476
_cell_length_c 8.370
_cell_angle_alpha 101.86
_cell_angle_beta 101.86
_cell_angle_gamma 26.46
_symmetry_space_group_name_H-M 'P 1'
_symmetry_Int_Tables_number 1
_symmetry_space_group_name_Hall 'P 1'
loop_
_atom_site_label
_atom_site_fract_x
_atom_site_fract_y
_atom_site_fract_z
Pr1 0.009 0.009 0.264
Pr2 0.329 0.329 0.426
Pr3 0.331 0.331 0.892
Pr4 0.669 0.669 0.108
Pr5 0.671 0.671 0.574
Pr6 0.991 0.991 0.736
Si1 0.166 0.166 0.335
Si2 0.834 0.834 0.665
Br1 0.500 0.500 0.000
Cl1 0.168 0.168 0.838
Cl2 0.500 0.500 0.500
Cl3 0.832 0.832 0.162

---

Entry 7:
# BeIn2Cu | Alexandria | PBE-GGA | optimized geometry
# DOS(E_F) in states/eV per cell: 1.384
# E_form in eV per atom: 0.164
# Symmetry: No. 187
# Spin magnetization in μB per formula unit: 0.0
data_BeIn2Cu
_cell_length_a 3.935
_cell_length_b 3.935
_cell_length_c 5.999
_cell_angle_alpha 90.00
_cell_angle_beta 90.00
_cell_angle_gamma 120.00
_symmetry_space_group_name_H-M 'P 1'
_symmetry_Int_Tables_number 1
_symmetry_space_group_name_Hall 'P 1'
loop_
_atom_site_label
_atom_site_fract_x
_atom_site_fract_y
_atom_site_fract_z
Be1 0.000 0.000 0.000
In1 0.667 0.333 0.264
In2 0.667 0.333 0.736
Cu1 0.333 0.667 0.000

---

Entry 8:
# NiMoH2 | Alexandria | PBE-GGA | optimized geometry
# DOS(E_F) in states/eV per cell: 1.560
# Symmetry: No. 160
# Spin magnetization in μB per formula unit: 0.0
# ΔE to the lowest computed polymorph in eV per atom: 0.155
data_NiMoH2
_cell_length_a 5.090
_cell_length_b 5.090
_cell_length_c 5.090
_cell_angle_alpha 31.75
_cell_angle_beta 31.75
_cell_angle_gamma 31.75
_symmetry_space_group_name_H-M 'P 1'
_symmetry_Int_Tables_number 1
_symmetry_space_group_name_Hall 'P 1'
loop_
_atom_site_label
_atom_site_fract_x
_atom_site_fract_y
_atom_site_fract_z
Ni1 0.000 0.000 0.000
Mo1 0.820 0.820 0.820
H1 0.396 0.396 0.396
H2 0.575 0.575 0.575

---

Entry 9:
# Ca5Ac4Os | Alexandria | PBE-GGA | optimized geometry
# DOS(E_F) in states/eV per cell: 13.196
# E_form in eV per atom: 0.056
# Symmetry: No. 12
# Spin magnetization in μB per formula unit: 0.0
data_Ca5Ac4Os
_cell_length_a 9.892
_cell_length_b 9.892
_cell_length_c 11.249
_cell_angle_alpha 99.48
_cell_angle_beta 99.48
_cell_angle_gamma 23.72
_symmetry_space_group_name_H-M 'P 1'
_symmetry_Int_Tables_number 1
_symmetry_space_group_name_Hall 'P 1'
loop_
_atom_site_label
_atom_site_fract_x
_atom_site_fract_y
_atom_site_fract_z
Ca1 0.000 0.000 0.000
Ca2 0.321 0.321 0.112
Ca3 0.328 0.328 0.784
Ca4 0.672 0.672 0.216
Ca5 0.679 0.679 0.888
Ac1 0.154 0.154 0.536
Ac2 0.497 0.497 0.317
Ac3 0.503 0.503 0.683
Ac4 0.846 0.846 0.464
Os1 0.000 0.000 0.500

---

Entry 10:
# TaInGe2P | Alexandria | PBE-GGA | optimized geometry
# DOS(E_F) in states/eV per cell: 7.064
# E_form in eV per atom: 1.856
# Symmetry: No. 123
# Spin magnetization in μB per formula unit: 0.0
data_TaInGe2P
_cell_length_a 5.144
_cell_length_b 5.144
_cell_length_c 5.797
_cell_angle_alpha 90.00
_cell_angle_beta 90.00
_cell_angle_gamma 90.00
_symmetry_space_group_name_H-M 'P 1'
_symmetry_Int_Tables_number 1
_symmetry_space_group_name_Hall 'P 1'
loop_
_atom_site_label
_atom_site_fract_x
_atom_site_fract_y
_atom_site_fract_z
Ta1 0.000 0.000 0.000
In1 0.000 0.000 0.500
Ge1 0.000 0.500 0.500
Ge2 0.500 0.000 0.500
P1 0.500 0.500 0.000

---

Entry 11:
# ZrBO3 | Alexandria | PBE-GGA | optimized geometry
# DOS(E_F) in states/eV per cell: 3.059
# Symmetry: No. 221
# E_form (uncorrected) in eV/atom: -0.831
# Spin magnetization in μB per formula unit: 1.0
data_ZrBO3
_cell_length_a 4.137
_cell_length_b 4.137
_cell_length_c 4.137
_cell_angle_alpha 90.00
_cell_angle_beta 90.00
_cell_angle_gamma 90.00
_symmetry_space_group_name_H-M 'P 1'
_symmetry_Int_Tables_number 1
_symmetry_space_group_name_Hall 'P 1'
loop_
_atom_site_label
_atom_site_fract_x
_atom_site_fract_y
_atom_site_fract_z
Zr1 0.000 0.000 0.000
B1 0.500 0.500 0.500
O1 0.000 0.000 0.500
O2 0.000 0.500 0.000
O3 0.500 0.000 0.000

---

Entry 12:
# Tb2Pr4Sm5 | Alexandria | PBE-GGA | optimized geometry
# DOS(E_F) in states/eV per cell: 16.606
# E_form in eV per atom: 0.100
# Symmetry: No. 12
# Spin magnetization in μB per formula unit: 0.0
# ΔE to the lowest computed polymorph in eV per atom: 0.000
data_Tb2Pr4Sm5
_cell_length_a 12.346
_cell_length_b 12.346
_cell_length_c 8.834
_cell_angle_alpha 94.38
_cell_angle_beta 94.38
_cell_angle_gamma 16.67
_symmetry_space_group_name_H-M 'P 1'
_symmetry_Int_Tables_number 1
_symmetry_space_group_name_Hall 'P 1'
loop_
_atom_site_label
_atom_site_fract_x
_atom_site_fract_y
_atom_site_fract_z
Tb1 0.087 0.087 0.198
Tb2 0.913 0.913 0.802
Pr1 0.226 0.226 0.325
Pr2 0.459 0.459 0.155
Pr3 0.541 0.541 0.845
Pr4 0.774 0.774 0.675
Sm1 0.000 0.000 0.500
Sm2 0.315 0.315 0.025
Sm3 0.370 0.370 0.454
Sm4 0.630 0.630 0.546
Sm5 0.685 0.685 0.975

---

Entry 13:
# BaAc2Tl2Hg2 | Alexandria | PBE-GGA | optimized geometry
# DOS(E_F) in states/eV per cell: 2.741
# E_form in eV per atom: -0.296
# Symmetry: No. 166
# Spin magnetization in μB per formula unit: 0.0
data_BaAc2Tl2Hg2
_cell_length_a 10.585
_cell_length_b 10.585
_cell_length_c 10.585
_cell_angle_alpha 29.30
_cell_angle_beta 29.30
_cell_angle_gamma 29.30
_symmetry_space_group_name_H-M 'P 1'
_symmetry_Int_Tables_number 1
_symmetry_space_group_name_Hall 'P 1'
loop_
_atom_site_label
_atom_site_fract_x
_atom_site_fract_y
_atom_site_fract_z
Ba1 0.000 0.000 0.000
Ac1 0.134 0.134 0.134
Ac2 0.866 0.866 0.866
Tl1 0.260 0.260 0.260
Tl2 0.740 0.740 0.740
Hg1 0.435 0.435 0.435
Hg2 0.565 0.565 0.565